A relaxed structure of AlSiAs2I. Source: Alexandria, functional GGA-PBE.

Geometry as CIF:
```
data_AlSiAs2I
_symmetry_space_group_name_H-M 'P 4/m m m'
_symmetry_Int_Tables_number 123
_symmetry_space_group_name_Hall '-P 4 2'
_cell_length_a 4.7845
_cell_length_b 4.7845
_cell_length_c 5.8073
_cell_angle_alpha 90.00
_cell_angle_beta 90.00
_cell_angle_gamma 90.00
loop_
_atom_site_label
_atom_site_fract_x
_atom_site_fract_y
_atom_site_fract_z
Al1 0.0000 0.0000 0.0000
Si1 0.5000 0.5000 0.5000
As1 0.0000 0.5000 0.5000
I1 0.5000 0.5000 0.0000
```

Output
E_form (uncorrected) (eV per atom): 0.634

=====

A relaxed structure of EuZnGe4. Source: Alexandria, functional GGA-PBE.

Geometry as CIF:
```
data_EuZnGe4
_symmetry_space_group_name_H-M 'F -4 3 m'
_symmetry_Int_Tables_number 216
_symmetry_space_group_name_Hall 'F -4 2 3'
_cell_length_a 7.9317
_cell_length_b 7.9317
_cell_length_c 7.9317
_cell_angle_alpha 90.00
_cell_angle_beta 90.00
_cell_angle_gamma 90.00
loop_
_atom_site_label
_atom_site_fract_x
_atom_site_fract_y
_atom_site_fract_z
Eu1 0.0000 0.0000 0.0000
Zn1 0.2500 0.2500 0.7500
Ge1 0.1239 0.1239 0.3761
```

Output
Formation energy (meV per atom): -106

=====

A relaxed structure of Nb4S3O. Source: Alexandria, functional GGA-PBE.

Geometry as CIF:
```
data_Nb4S3O
_symmetry_space_group_name_H-M 'P m n 21'
_symmetry_Int_Tables_number 31
_cell_length_a 6.4217
_cell_length_b 6.7373
_cell_length_c 6.3750
_cell_angle_alpha 90.00
_cell_angle_beta 90.00
_cell_angle_gamma 90.00
loop_
_symmetry_equiv_pos_as_xyz
'x,y,z'
'-x+1/2,-y,z+1/2'
'-x,y,z'
'x+1/2,-y,z+1/2'
loop_
_atom_site_label
_atom_site_fract_x
_atom_site_fract_y
_atom_site_fract_z
Nb1 0.0000 0.1174 0.0000
Nb2 0.0000 0.8794 0.4130
Nb3 0.2328 0.7439 0.8557
S1 0.0000 0.1880 0.6136
S2 0.2454 0.6046 0.5040
O1 0.0000 0.8157 0.0905
```

Output
E_form (uncorrected) (eV per atom): -0.970

=====

A relaxed structure of CaZn2GaCu2. Source: Alexandria, functional GGA-PBE.

Geometry as CIF:
```
data_CaZn2GaCu2
_symmetry_space_group_name_H-M 'P 4/m m m'
_symmetry_Int_Tables_number 123
_symmetry_space_group_name_Hall '-P 4 2'
_cell_length_a 4.5147
_cell_length_b 4.5147
_cell_length_c 5.6758
_cell_angle_alpha 90.00
_cell_angle_beta 90.00
_cell_angle_gamma 90.00
loop_
_atom_site_label
_atom_site_fract_x
_atom_site_fract_y
_atom_site_fract_z
Ca1 0.0000 0.0000 0.0000
Zn1 0.5000 0.5000 0.2360
Ga1 0.0000 0.0000 0.5000
Cu1 0.0000 0.5000 0.5000
```

Output
Formation energy (meV per atom): -9

=====

A relaxed structure of La3N2O. Source: Alexandria, functional GGA-PBE.

Geometry as CIF:
```
data_La3N2O
_symmetry_space_group_name_H-M 'I m m m'
_symmetry_Int_Tables_number 71
_symmetry_space_group_name_Hall '-I 2 2'
_cell_length_a 3.7125
_cell_length_b 5.2630
_cell_length_c 11.1339
_cell_angle_alpha 90.00
_cell_angle_beta 90.00
_cell_angle_gamma 90.00
loop_
_atom_site_label
_atom_site_fract_x
_atom_site_fract_y
_atom_site_fract_z
La1 0.0000 0.0000 0.0000
La2 0.0000 0.0000 0.3299
N1 0.0000 0.5000 0.3318
O1 0.0000 0.5000 0.0000
```

Output
E_form (uncorrected) (eV per atom): -1.909

=====

A relaxed structure of Y2MoAuC. Source: Alexandria, functional GGA-PBE.

Geometry as CIF:
```
data_Y2MoAuC
_symmetry_space_group_name_H-M 'P 4/m m m'
_symmetry_Int_Tables_number 123
_symmetry_space_group_name_Hall '-P 4 2'
_cell_length_a 4.9506
_cell_length_b 4.9506
_cell_length_c 4.0583
_cell_angle_alpha 90.00
_cell_angle_beta 90.00
_cell_angle_gamma 90.00
loop_
_atom_site_label
_atom_site_fract_x
_atom_site_fract_y
_atom_site_fract_z
Y1 0.0000 0.5000 0.0000
Mo1 0.0000 0.0000 0.5000
Au1 0.5000 0.5000 0.5000
C1 0.0000 0.0000 0.0000
```

Output
Formation energy (meV per atom): -307

=====

no.,total energy (eV/atom)
1,-3.369
2,-5.109
3,-8.173
4,-2.637
5,-7.974
6,-7.559